Entry 1:
6
Lattice="4.6276 -1.3025 0.0000 4.6276 1.3025 0.0000 -1.4270 0.0000 5.8276" Properties=species:S:1:pos:R:3 comment="Mn2Os SCAN PBEsol geometry" total_energy_ev_per_atom=-36.11 magmom_total_mub_per_cell=0.02 pbc="T T T"
Mn 0.0000 0.0000 0.0000
Mn -0.3396 0.0000 3.5656
Mn 2.1715 0.0000 3.9101
Mn 5.6907 0.0000 2.0245
Os 3.2311 0.0000 1.6775
Os 5.3028 0.0000 5.4719

***

Entry 2:
6
Lattice="0.0000 3.2520 3.2520 3.2520 0.0000 3.2520 3.2520 3.2520 0.0000" Properties=species:S:1:pos:R:3 comment="Mn2Os SCAN PBEsol geometry" total_energy_ev_per_atom=-36.06 magmom_total_mub_per_cell=2.77 pbc="T T T"
Mn 0.0000 0.0000 0.0000
Mn 1.6260 1.6260 0.0000
Mn 1.6260 0.0000 1.6260
Mn 0.0000 1.6260 1.6260
Os 2.4390 2.4390 2.4390
Os 4.0650 4.0650 4.0650

***

Entry 3:
8
Lattice="0.0000 3.5346 3.5346 3.5346 0.0000 3.5346 3.5346 3.5346 0.0000" Properties=species:S:1:pos:R:3 comment="Mn7Os SCAN PBEsol geometry" total_energy_ev_per_atom=-24.93 magmom_total_mub_per_cell=5.85 pbc="T T T"
Mn 0.0000 0.0000 0.0000
Mn 1.7673 1.7673 0.0000
Mn 1.7673 0.0000 1.7673
Mn 3.5346 1.7673 1.7673
Mn 0.0000 1.7673 1.7673
Mn 1.7673 3.5346 1.7673
Mn 1.7673 1.7673 3.5346
Os 3.5346 3.5346 3.5346

***

Entry 4:
6
Lattice="4.6827 -1.3217 0.0000 4.6827 1.3217 0.0000 -1.5102 0.0000 5.9525" Properties=species:S:1:pos:R:3 comment="MnOs SCAN PBEsol geometry" total_energy_ev_per_atom=-45.01 magmom_total_mub_per_cell=0.00 pbc="T T T"
Mn 0.0000 0.0000 0.0000
Mn -0.3642 0.0000 3.5906
Mn 5.7184 0.0000 1.9878
Os 2.1470 0.0000 3.9529
Os 3.2704 0.0000 1.6417
Os 5.2621 0.0000 5.6086

***

Entry 5:
4
Lattice="2.5779 0.0000 0.0000 0.0000 3.5465 0.0000 0.0000 0.0000 5.0977" Properties=species:S:1:pos:R:3 comment="Mn3Os SCAN PBEsol geometry" total_energy_ev_per_atom=-31.75 magmom_total_mub_per_cell=1.26 pbc="T T T"
Mn 0.0000 0.0000 0.0000
Mn 1.2889 1.7733 1.2286
Mn 1.2889 1.7733 3.8691
Os 0.0000 0.0000 2.5488

***

Entry 6:
4
Lattice="4.0980 0.0000 0.0000 -2.0490 3.5489 0.0000 0.0000 0.0000 4.5328" Properties=species:S:1:pos:R:3 comment="MnOs SCAN PBEsol geometry" total_energy_ev_per_atom=-43.77 magmom_total_mub_per_cell=0.01 pbc="T T T"
Mn 0.0000 2.3660 1.1332
Mn 2.0490 1.1830 3.3996
Os 0.0000 2.3660 3.3996
Os 2.0490 1.1830 1.1332